Record 1
TiV2WBr | PBE-GGA | optimized geometry

abc: 4.670 4.670 4.946
angles: 90.00 90.00 90.00
Atoms (fractional coordinates):
Ti: 0.000 0.000 0.000
V: 0.000 0.500 0.500
V: 0.500 0.000 0.500
W: 0.500 0.500 0.500
Br: 0.500 0.500 0.000

Properties
space-group type: P4/mmm, No. 123
energy relative to the elements, uncorrected: 1.58 eV/atom

Record 2
TiVWBr2 | PBE-GGA | optimized geometry

abc: 4.744 4.744 5.023
angles: 90.00 90.00 90.00
Atoms (fractional coordinates):
Ti: 0.000 0.000 0.000
V: 0.000 0.000 0.500
W: 0.500 0.500 0.000
Br: 0.000 0.500 0.500
Br: 0.500 0.000 0.500

Properties
space-group type: P4/mmm, No. 123
energy relative to the elements, uncorrected: 1.48 eV/atom

Record 3
TiWBr3 | PBE-GGA | optimized geometry

abc: 5.153 5.153 5.153
angles: 90.00 90.00 90.00
Atoms (fractional coordinates):
Ti: 0.000 0.000 0.000
W: 0.500 0.500 0.500
Br: 0.000 0.000 0.500
Br: 0.000 0.500 0.000
Br: 0.500 0.000 0.000

Properties
E above lowest polymorph: 0.00 eV/f.u.
space-group type: Pm-3m, No. 221
energy relative to the elements, uncorrected: 0.71 eV/atom

Record 4
TiWBr | PBE-GGA | optimized geometry

abc: 3.415 4.223 9.303
angles: 89.91 79.48 90.00
Atoms (fractional coordinates):
Ti: 0.056 0.250 0.386
Ti: 0.944 0.750 0.614
W: 0.442 0.250 0.616
W: 0.558 0.750 0.384
Br: 0.335 0.749 0.831
Br: 0.665 0.251 0.169

Properties
space-group type: P-1, No. 2
energy relative to the elements, uncorrected: -0.12 eV/atom